Record 1
Compound: HgS2N
Source: Alexandria
Functional: GGA-PBE
Structure: optimized geometry

a = 3.0019 Å, b = 3.0019 Å, c = 27.2617 Å
α = 90.00°, β = 90.00°, γ = 120.00°
Closest atoms and distances in Å follow each position.
Fractional positions:
Hg: 0.0000 0.0000 0.0000  6 Hg 3.00, 2 S 3.20
Hg: 0.3333 0.6667 0.6667  6 Hg 3.00, 2 S 3.20
Hg: 0.6667 0.3333 0.3333  6 Hg 3.00, 2 S 3.20
S: 0.0000 0.0000 0.1173  3 N 2.19
S: 0.0000 0.0000 0.8827  3 N 2.19
S: 0.3333 0.6667 0.5494  3 N 2.19
S: 0.3333 0.6667 0.7840  3 N 2.19
S: 0.6667 0.3333 0.2160  3 N 2.19
S: 0.6667 0.3333 0.4506  3 N 2.19
N: 0.0000 0.0000 0.5000  6 S 2.19
N: 0.3333 0.6667 0.1667  6 S 2.19
N: 0.6667 0.3333 0.8333  6 S 2.19

* distance to the lowest polymorph of the same formula: 753 meV/atom
* symmetry: No. 166
* total moment: 0.0 Bohr magnetons per cell
* energy relative to the elements, uncorrected: 1.234 eV/atom
* V: 70.92 Å³/f.u.

---

Record 2
Compound: TlSn6Pb12
Source: Alexandria
Functional: GGA-PBE
Structure: optimized geometry

a = 9.2291 Å, b = 9.2291 Å, c = 9.2291 Å
α = 109.47°, β = 109.47°, γ = 109.47°
Closest atoms and distances in Å follow each position.
Fractional positions:
Tl: 0.0000 0.0000 0.0000  12 Pb 3.51
Sn: 0.1375 0.6375 0.5000  1 Sn 2.93, 4 Pb 3.11-3.20
Sn: 0.3625 0.5000 0.8625  1 Sn 2.93, 4 Pb 3.11-3.20
Sn: 0.5000 0.1375 0.6375  1 Sn 2.93, 4 Pb 3.11-3.20
Sn: 0.5000 0.8625 0.3625  1 Sn 2.93, 4 Pb 3.11-3.20
Sn: 0.6375 0.5000 0.1375  1 Sn 2.93, 4 Pb 3.11-3.20
Sn: 0.8625 0.3625 0.5000  1 Sn 2.93, 4 Pb 3.11-3.20
Pb: 0.0264 0.7804 0.2461  2 Sn 3.11-3.20
Pb: 0.2196 0.2461 0.4657  2 Sn 3.11-3.20
Pb: 0.2196 0.7539 0.9736  2 Sn 3.11-3.20
Pb: 0.2461 0.0264 0.7804  2 Sn 3.11-3.20
Pb: 0.2461 0.4657 0.2196  2 Sn 3.11-3.20
Pb: 0.4657 0.2196 0.2461  2 Sn 3.11-3.20
Pb: 0.5343 0.7804 0.7539  2 Sn 3.11-3.20
Pb: 0.7539 0.5343 0.7804  2 Sn 3.11-3.20
Pb: 0.7539 0.9736 0.2196  2 Sn 3.11-3.20
Pb: 0.7804 0.2461 0.0264  2 Sn 3.11-3.20
Pb: 0.7804 0.7539 0.5343  2 Sn 3.11-3.20
Pb: 0.9736 0.2196 0.7539  2 Sn 3.11-3.20

* distance to the lowest polymorph of the same formula: 0 meV/atom
* symmetry: No. 204
* total moment: 0.0 Bohr magnetons per cell
* V: 605.13 Å³/f.u.
* DFT formation energy: 0.074 eV per atom

---

Record 3
Compound: Tb3DyIr3
Source: Alexandria
Functional: GGA-PBE
Structure: optimized geometry

a = 7.0096 Å, b = 7.0096 Å, c = 6.6283 Å
α = 90.00°, β = 90.00°, γ = 90.29°
Closest atoms and distances in Å follow each position.
Fractional positions:
Tb: 0.2450 0.2450 0.0000  6 Ir 2.94-2.99
Tb: 0.2452 0.7548 0.0000  6 Ir 2.95-2.98
Tb: 0.2473 0.2473 0.5000  6 Ir 2.95-2.98
Tb: 0.7527 0.7527 0.5000  6 Ir 2.95-2.98
Tb: 0.7548 0.2452 0.0000  6 Ir 2.95-2.98
Tb: 0.7550 0.7550 0.0000  6 Ir 2.94-2.99
Dy: 0.2423 0.7577 0.5000  6 Ir 2.92-2.97
Dy: 0.7577 0.2423 0.5000  6 Ir 2.92-2.97
Ir: 0.0000 0.0000 0.2502  2 Dy 2.92, 6 Tb 2.94-2.95
Ir: 0.0000 0.0000 0.7498  2 Dy 2.92, 6 Tb 2.94-2.95
Ir: 0.0000 0.5000 0.2508  2 Dy 2.97, 6 Tb 2.98-2.99, 2 Ir 3.30-3.32
Ir: 0.0000 0.5000 0.7492  2 Dy 2.97, 6 Tb 2.98-2.99, 2 Ir 3.30-3.32
Ir: 0.5000 0.0000 0.2508  2 Dy 2.97, 6 Tb 2.98-2.99, 2 Ir 3.30-3.32
Ir: 0.5000 0.0000 0.7492  2 Dy 2.97, 6 Tb 2.98-2.99, 2 Ir 3.30-3.32

* distance to the lowest polymorph of the same formula: 21 meV/atom
* symmetry: No. 65
* total moment: 0.0 Bohr magnetons per cell
* V: 162.84 Å³/f.u.
* DFT formation energy: -0.690 eV per atom

---

Record 4
Compound: La2PrDy4Er
Source: Alexandria
Functional: GGA-PBE
Structure: optimized geometry

a = 7.2699 Å, b = 7.2776 Å, c = 10.0714 Å
α = 90.00°, β = 89.95°, γ = 89.84°
Closest atoms and distances in Å follow each position.
Fractional positions:
La: 0.0000 0.0000 0.0000  4 La 3.63-3.64, 8 Dy 3.65
La: 0.0000 0.0000 0.5000  8 Dy 3.58-3.59, 2 Er 3.63, 2 Pr 3.64
La: 0.0000 0.5000 0.0000  2 Pr 3.63, 2 La 3.64, 8 Dy 3.64
La: 0.5000 0.0000 0.0000  8 Dy 3.61-3.62, 2 La 3.63, 2 Pr 3.64
Pr: 0.0000 0.5000 0.5000  8 Dy 3.58, 2 Er 3.63, 2 La 3.64
Pr: 0.5000 0.5000 0.0000  8 Dy 3.61-3.62, 4 La 3.63-3.64
Dy: 0.2540 0.2506 0.2543  2 Er 3.55-3.56, 4 Dy 3.57-3.70, 2 Pr 3.58-3.61, 4 La 3.59-3.65
Dy: 0.2543 0.2508 0.7454  2 Er 3.55, 4 Dy 3.57-3.70, 2 Pr 3.58-3.62, 4 La 3.59-3.65
Dy: 0.2540 0.7490 0.2544  2 Er 3.55-3.56, 4 Dy 3.57-3.70, 2 Pr 3.58-3.61, 4 La 3.58-3.65
Dy: 0.2545 0.7490 0.7455  2 Er 3.54-3.56, 4 Dy 3.57-3.70, 2 Pr 3.58-3.61, 4 La 3.59-3.65
Dy: 0.7455 0.2510 0.2545  2 Er 3.54-3.56, 4 Dy 3.57-3.70, 2 Pr 3.58-3.61, 4 La 3.59-3.65
Dy: 0.7460 0.2510 0.7456  2 Er 3.55-3.56, 4 Dy 3.57-3.70, 2 Pr 3.58-3.61, 4 La 3.58-3.65
Dy: 0.7457 0.7492 0.2546  2 Er 3.55, 4 Dy 3.57-3.70, 2 Pr 3.58-3.62, 4 La 3.59-3.65
Dy: 0.7460 0.7494 0.7457  2 Er 3.55-3.56, 4 Dy 3.57-3.70, 2 Pr 3.58-3.61, 4 La 3.59-3.65
Er: 0.5000 0.0000 0.5000  8 Dy 3.55-3.56, 2 La 3.63, 2 Er 3.64
Er: 0.5000 0.5000 0.5000  8 Dy 3.54-3.56, 2 Pr 3.63, 2 Er 3.64

* symmetry: No. 2
* total moment: 0.0 Bohr magnetons per cell
* V: 266.42 Å³/f.u.
* DFT formation energy: 0.023 eV per atom

---

Record 5
Compound: ReHPb2O6
Source: Alexandria
Functional: GGA-PBE
Structure: optimized geometry

a = 6.0278 Å, b = 6.0278 Å, c = 5.4876 Å
α = 114.82°, β = 114.82°, γ = 96.82°
Closest atoms and distances in Å follow each position.
Fractional positions:
Re: 0.0000 0.0000 0.0000  4 O 1.78-1.88
H: 0.3080 0.3080 0.6954  1 O 0.99
Pb: 0.2408 0.6456 0.3759  4 O 2.38-2.59
Pb: 0.6456 0.2408 0.3759  4 O 2.38-2.59
O: 0.2582 0.8472 0.0463  1 Re 1.88
O: 0.2615 0.2615 0.0212  1 Re 2.02, 1 H 2.04
O: 0.3192 0.3192 0.5262  1 H 0.99
O: 0.7649 0.7649 0.5964  1 Re 1.78
O: 0.8472 0.2582 0.0463  1 Re 1.88
O: 0.8863 0.8863 0.1929  1 Re 1.78

* calculated total energy: -6.642 eV per atom
* symmetry: No. 8
* total moment: 0.0 Bohr magnetons per cell
* V: 153.37 Å³/f.u.

---

Record 6
Compound: Ti10Sn3Sb3
Source: Alexandria
Functional: GGA-PBE
Structure: optimized geometry

a = 8.0704 Å, b = 8.0704 Å, c = 5.4072 Å
α = 90.00°, β = 90.00°, γ = 120.00°
Closest atoms and distances in Å follow each position.
Fractional positions:
Ti: 0.0000 0.2570 0.0000  3 Sn 2.73-2.90, 2 Sb 2.93
Ti: 0.0000 0.7811 0.5000  3 Sb 2.78-3.09, 2 Sn 3.01, 2 Ti 3.06
Ti: 0.2189 0.2189 0.5000  3 Sb 2.78-3.09, 2 Sn 3.01, 2 Ti 3.06
Ti: 0.2570 0.0000 0.0000  3 Sn 2.73-2.90, 2 Sb 2.93
Ti: 0.3333 0.6667 0.2473  2 Ti 2.67-2.73, 3 Sb 2.82, 3 Sn 2.85
Ti: 0.3333 0.6667 0.7527  2 Ti 2.67-2.73, 3 Sb 2.82, 3 Sn 2.85
Ti: 0.6667 0.3333 0.2473  2 Ti 2.67-2.73, 3 Sb 2.82, 3 Sn 2.85
Ti: 0.6667 0.3333 0.7527  2 Ti 2.67-2.73, 3 Sb 2.82, 3 Sn 2.85
Ti: 0.7430 0.7430 0.0000  3 Sn 2.73-2.90, 2 Sb 2.93
Ti: 0.7811 0.0000 0.5000  3 Sb 2.78-3.09, 2 Sn 3.01, 2 Ti 3.06
Sn: 0.0000 0.6167 0.0000  9 Ti 2.73-3.01
Sn: 0.3833 0.3833 0.0000  9 Ti 2.73-3.01
Sn: 0.6167 0.0000 0.0000  9 Ti 2.73-3.01
Sb: 0.0000 0.3977 0.5000  9 Ti 2.78-3.09
Sb: 0.3977 0.0000 0.5000  9 Ti 2.78-3.09
Sb: 0.6023 0.6023 0.5000  9 Ti 2.78-3.09

* symmetry: No. 189
* total moment: 1.1 Bohr magnetons per cell
* energy relative to the elements, uncorrected: -0.415 eV/atom
* V: 304.99 Å³/f.u.

---

Record 7
Compound: Ga2Cu3Ni4
Source: Alexandria
Functional: GGA-PBE
Structure: optimized geometry

a = 4.0299 Å, b = 4.0299 Å, c = 7.5257 Å
α = 90.68°, β = 90.68°, γ = 60.49°
Closest atoms and distances in Å follow each position.
Fractional positions:
Ga: 0.1666 0.1666 0.2815  7 Ni 2.46-2.49, 1 Cu 2.50
Ga: 0.8334 0.8334 0.7185  7 Ni 2.46-2.49, 1 Cu 2.50
Cu: 0.1670 0.1670 0.9494  3 Cu 2.45-2.46, 1 Ga 2.50, 4 Ni 2.50-2.54
Cu: 0.5000 0.5000 0.5000  8 Ni 2.47-2.48
Cu: 0.8330 0.8330 0.0506  3 Cu 2.45-2.46, 1 Ga 2.50, 4 Ni 2.50-2.54
Ni: 0.1666 0.1666 0.6120  4 Ga 2.46-2.49, 4 Cu 2.48-2.54
Ni: 0.5002 0.5002 0.1723  4 Cu 2.47-2.51, 3 Ga 2.47, 1 Ni 2.59
Ni: 0.4998 0.4998 0.8277  4 Cu 2.47-2.51, 3 Ga 2.47, 1 Ni 2.59
Ni: 0.8334 0.8334 0.3880  4 Ga 2.46-2.49, 4 Cu 2.48-2.54

* symmetry: No. 12
* total moment: 0.0 Bohr magnetons per cell
* V: 106.36 Å³/f.u.
* DFT formation energy: -0.202 eV per atom

---

Record 8
Compound: BaMg3Hg
Source: Alexandria
Functional: GGA-PBE
Structure: optimized geometry

a = 6.1299 Å, b = 7.0614 Å, c = 7.3215 Å
α = 90.00°, β = 109.90°, γ = 90.00°
Closest atoms and distances in Å follow each position.
Fractional positions:
Ba: 0.2171 0.2500 0.1916  2 Hg 3.42-3.44, 7 Mg 3.69-3.77
Ba: 0.7829 0.7500 0.8084  2 Hg 3.42-3.44, 7 Mg 3.69-3.77
Mg: 0.2391 0.7500 0.3669  1 Hg 2.84, 2 Mg 3.09
Mg: 0.2416 0.0268 0.6939  2 Hg 2.99-3.03, 3 Mg 3.09-3.24
Mg: 0.2416 0.4732 0.6939  2 Hg 2.99-3.03, 3 Mg 3.09-3.24
Mg: 0.7584 0.5268 0.3061  2 Hg 2.99-3.03, 3 Mg 3.09-3.24
Mg: 0.7584 0.9732 0.3061  2 Hg 2.99-3.03, 3 Mg 3.09-3.24
Mg: 0.7609 0.2500 0.6331  1 Hg 2.84, 2 Mg 3.09
Hg: 0.3715 0.7500 0.0307  5 Mg 2.84-3.03
Hg: 0.6285 0.2500 0.9693  5 Mg 2.84-3.03

* distance to the lowest polymorph of the same formula: 0 meV/atom
* symmetry: No. 11
* total moment: 0.0 Bohr magnetons per cell
* V: 149.00 Å³/f.u.
* DFT formation energy: -0.180 eV per atom

---

Record 9
Compound: Pa2NiRhN5
Source: Alexandria
Functional: GGA-PBE
Structure: optimized geometry

a = 7.3886 Å, b = 7.3886 Å, c = 8.6976 Å
α = 90.00°, β = 90.00°, γ = 153.93°
Closest atoms and distances in Å follow each position.
Fractional positions:
Pa: 0.1241 0.8759 0.5000  8 N 2.38-2.62
Pa: 0.1287 0.8713 0.0623  8 N 2.36-2.56
Pa: 0.8713 0.1287 0.5623  8 N 2.36-2.56
Pa: 0.8759 0.1241 0.0000  8 N 2.38-2.62
Ni: 0.4892 0.5108 0.2786  4 N 1.95-2.18
Ni: 0.5108 0.4892 0.7786  4 N 1.95-2.18
Rh: 0.2248 0.7752 0.7794  6 N 2.06-2.17
Rh: 0.7752 0.2248 0.2794  6 N 2.06-2.17
N: 0.0816 0.9184 0.7832  2 Ni 1.95, 1 Rh 2.06
N: 0.2835 0.7165 0.4282  2 Rh 2.11
N: 0.2872 0.7128 0.1295  2 Rh 2.12, 1 Pa 2.36
N: 0.3755 0.6245 0.7674  1 Ni 1.95, 1 Rh 2.17
N: 0.4952 0.5048 0.0283  2 Ni 2.18, 2 Pa 2.41
N: 0.5048 0.4952 0.5283  2 Ni 2.18, 2 Pa 2.41
N: 0.6245 0.3755 0.2674  1 Ni 1.95, 1 Rh 2.17
N: 0.7128 0.2872 0.6295  2 Rh 2.12, 1 Pa 2.36
N: 0.7165 0.2835 0.9282  2 Rh 2.11
N: 0.9184 0.0816 0.2832  2 Ni 1.95, 1 Rh 2.06

* symmetry: No. 36
* total moment: 0.0 Bohr magnetons per cell
* energy relative to the elements, uncorrected: -0.732 eV/atom
* V: 104.32 Å³/f.u.